Sr2LaSbRh | PBE-GGA | relaxed

Structure (POSCAR):
```
Sr2LaSbRh
1.0
6.333 0.000 0.000
0.000 4.745 0.000
0.000 0.000 6.333
Sr Sb La Rh
2 1 1 1
Cartesian
0.000 0.000 3.167
3.167 0.000 0.000
3.167 2.373 3.167
0.000 0.000 0.000
0.000 2.373 0.000
```

Results
Energy relative to the elements, uncorrected, meV/atom: 385
DOS at the Fermi energy, states/eV per cell: 5.309
Space group: P4/mmm (123)
Total moment, μB per formula unit: 0.0